[1]
# Nd2Er2Rh15 | the Alexandria database | PBE | relaxed
# calculated formation energy	-0.37	eV per atom
# total energy	-408.0	eV/cell
data_Nd2Er2Rh15
_chemical_formula_sum 'Nd6 Er6 Rh45'
_cell_length_a 9.1426
_cell_length_b 9.1426
_cell_length_c 13.5177
_cell_angle_alpha 90.00
_cell_angle_beta 90.00
_cell_angle_gamma 120.00
_symmetry_space_group_name_H-M 'R -3 m'
_symmetry_Int_Tables_number 166
_symmetry_space_group_name_Hall '-R 3 2"'
loop_
_atom_site_label
_atom_site_fract_x
_atom_site_fract_y
_atom_site_fract_z
Nd1 0.0000 0.0000 0.1425
Er1 0.0000 0.0000 0.3910
Rh1 0.0000 0.3047 0.5000
Rh2 0.0000 0.5000 0.0000
Rh3 0.0053 0.5026 0.6528


[2]
# Th3Ga4Ir4 | the Alexandria database | PBE | relaxed
# calculated formation energy	-0.85	eV per atom
# total energy	-158.4	eV/cell
data_Th3Ga4Ir4
_chemical_formula_sum 'Th6 Ga8 Ir8'
_cell_length_a 4.0451
_cell_length_b 7.5288
_cell_length_c 14.3458
_cell_angle_alpha 90.00
_cell_angle_beta 90.00
_cell_angle_gamma 90.00
_symmetry_space_group_name_H-M 'I m m m'
_symmetry_Int_Tables_number 71
_symmetry_space_group_name_Hall '-I 2 2'
loop_
_atom_site_label
_atom_site_fract_x
_atom_site_fract_y
_atom_site_fract_z
Th1 0.0000 0.0000 0.0000
Th2 0.0000 0.5000 0.1241
Ga1 0.0000 0.3034 0.3250
Ir1 0.0000 0.0000 0.2208
Ir2 0.0000 0.2106 0.5000


[3]
# LaCo2Tc | the Alexandria database | PBE | relaxed
# calculated formation energy	0.41	eV per atom
# relative energy among the computed polymorphs	37.4	kJ per mole of atoms
# total energy	-111.4	eV/cell
data_LaCo2Tc
_chemical_formula_sum 'La4 Co8 Tc4'
_cell_length_a 6.4728
_cell_length_b 6.4728
_cell_length_c 6.4728
_cell_angle_alpha 90.00
_cell_angle_beta 90.00
_cell_angle_gamma 90.00
_symmetry_space_group_name_H-M 'F m -3 m'
_symmetry_Int_Tables_number 225
_symmetry_space_group_name_Hall '-F 4 2 3'
loop_
_atom_site_label
_atom_site_fract_x
_atom_site_fract_y
_atom_site_fract_z
La1 0.0000 0.0000 0.0000
Co1 0.2500 0.2500 0.2500
Tc1 0.0000 0.0000 0.5000


[4]
# Ba2AlTe | the Alexandria database | PBE | relaxed
# formation energy from raw total energies	-0.56	eV per atom
# relative energy among the computed polymorphs	16.8	kJ per mole of atoms
# total energy	-25.9	eV/cell
data_Ba2AlTe
_chemical_formula_sum 'Ba4 Al2 Te2'
_cell_length_a 4.9481
_cell_length_b 4.9481
_cell_length_c 12.4948
_cell_angle_alpha 90.00
_cell_angle_beta 90.00
_cell_angle_gamma 90.00
_symmetry_space_group_name_H-M 'I -4 m 2'
_symmetry_Int_Tables_number 119
_symmetry_space_group_name_Hall 'I -4 -2'
loop_
_atom_site_label
_atom_site_fract_x
_atom_site_fract_y
_atom_site_fract_z
Ba1 0.0000 0.0000 0.0000
Ba2 0.0000 0.5000 0.2500
Al1 0.0000 0.0000 0.5000
Te1 0.0000 0.5000 0.7500


[5]
# ThTaC2 | the Alexandria database | PBE | relaxed
# calculated formation energy	-0.19	eV per atom
# relative energy among the computed polymorphs	28.1	kJ per mole of atoms
# total energy	-115.4	eV/cell
data_ThTaC2
_chemical_formula_sum 'Th3 Ta3 C6'
_cell_length_a 3.3229
_cell_length_b 3.3229
_cell_length_c 18.2280
_cell_angle_alpha 90.00
_cell_angle_beta 90.00
_cell_angle_gamma 120.00
_symmetry_space_group_name_H-M 'R 3 m'
_symmetry_Int_Tables_number 160
_symmetry_space_group_name_Hall 'R 3 -2"'
loop_
_atom_site_label
_atom_site_fract_x
_atom_site_fract_y
_atom_site_fract_z
Th1 0.0000 0.0000 0.0000
Ta1 0.0000 0.0000 0.8269
C1 0.0000 0.0000 0.2297
C2 0.0000 0.0000 0.4270


[6]
# LaTc3Sn | the Alexandria database | PBE | relaxed
# calculated formation energy	1.95	eV per atom
# relative energy among the computed polymorphs	64.5	kJ per mole of atoms
# total energy	-30.3	eV/cell
data_LaTc3Sn
_chemical_formula_sum 'La1 Tc3 Sn1'
_cell_length_a 4.9046
_cell_length_b 4.9046
_cell_length_c 4.9046
_cell_angle_alpha 90.00
_cell_angle_beta 90.00
_cell_angle_gamma 90.00
_symmetry_space_group_name_H-M 'P m -3 m'
_symmetry_Int_Tables_number 221
_symmetry_space_group_name_Hall '-P 4 2 3'
loop_
_atom_site_label
_atom_site_fract_x
_atom_site_fract_y
_atom_site_fract_z
La1 0.0000 0.0000 0.0000
Tc1 0.0000 0.0000 0.5000
Sn1 0.5000 0.5000 0.5000


[7]
# KRuAu | the Alexandria database | PBE | relaxed
# calculated formation energy	0.88	eV per atom
# relative energy among the computed polymorphs	31.8	kJ per mole of atoms
# total energy	-11.0	eV/cell
data_KRuAu
_chemical_formula_sum 'K1 Ru1 Au1'
_cell_length_a 5.1519
_cell_length_b 5.1519
_cell_length_c 2.6973
_cell_angle_alpha 90.00
_cell_angle_beta 90.00
_cell_angle_gamma 120.00
_symmetry_space_group_name_H-M 'P -6 m 2'
_symmetry_Int_Tables_number 187
_symmetry_space_group_name_Hall 'P -6 2'
loop_
_atom_site_label
_atom_site_fract_x
_atom_site_fract_y
_atom_site_fract_z
K1 0.0000 0.0000 0.0000
Ru1 0.6667 0.3333 0.5000
Au1 0.3333 0.6667 0.5000


[8]
# Sm2Ga3SnIr4 | the Alexandria database | PBE | relaxed
# calculated formation energy	-0.67	eV per atom
# total energy	-64.6	eV/cell
data_Sm2Ga3SnIr4
_chemical_formula_sum 'Sm2 Ga3 Sn1 Ir4'
_cell_length_a 4.3243
_cell_length_b 4.3243
_cell_length_c 10.4180
_cell_angle_alpha 90.00
_cell_angle_beta 90.00
_cell_angle_gamma 90.00
_symmetry_space_group_name_H-M 'P -4 m 2'
_symmetry_Int_Tables_number 115
_symmetry_space_group_name_Hall 'P -4 -2'
loop_
_atom_site_label
_atom_site_fract_x
_atom_site_fract_y
_atom_site_fract_z
Sm1 0.0000 0.5000 0.2288
Ga1 0.0000 0.5000 0.8776
Ga2 0.5000 0.5000 0.5000
Sn1 0.0000 0.0000 0.5000
Ir1 0.0000 0.0000 0.0000
Ir2 0.0000 0.5000 0.6411
Ir3 0.5000 0.5000 0.0000


[9]
# DyCo5 | the Alexandria database | PBE | relaxed
# calculated formation energy	0.08	eV per atom
# total energy	-79.3	eV/cell
data_DyCo5
_chemical_formula_sum 'Dy2 Co10'
_cell_length_a 3.7577
_cell_length_b 11.2994
_cell_length_c 3.7523
_cell_angle_alpha 90.00
_cell_angle_beta 90.00
_cell_angle_gamma 90.00
_symmetry_space_group_name_H-M 'C m m m'
_symmetry_Int_Tables_number 65
_symmetry_space_group_name_Hall '-C 2 2'
loop_
_atom_site_label
_atom_site_fract_x
_atom_site_fract_y
_atom_site_fract_z
Dy1 0.0000 0.0000 0.0000
Co1 0.0000 0.1855 0.5000
Co2 0.0000 0.3142 0.0000
Co3 0.0000 0.5000 0.5000


[10]
# CrGaCuPt2 | the Alexandria database | PBE | relaxed
# calculated formation energy	0.74	eV per atom
# total energy	-25.1	eV/cell
data_CrGaCuPt2
_chemical_formula_sum 'Cr1 Ga1 Cu1 Pt2'
_cell_length_a 4.6384
_cell_length_b 4.6384
_cell_length_c 4.4219
_cell_angle_alpha 90.00
_cell_angle_beta 90.00
_cell_angle_gamma 90.00
_symmetry_space_group_name_H-M 'P 4/m m m'
_symmetry_Int_Tables_number 123
_symmetry_space_group_name_Hall '-P 4 2'
loop_
_atom_site_label
_atom_site_fract_x
_atom_site_fract_y
_atom_site_fract_z
Cr1 0.0000 0.0000 0.0000
Ga1 0.5000 0.5000 0.0000
Cu1 0.0000 0.0000 0.5000
Pt1 0.0000 0.5000 0.5000


[11]
# MgNbIO2 | the Alexandria database | PBE | relaxed
# formation energy from raw total energies	-0.18	eV per atom
# relative energy among the computed polymorphs	93.1	kJ per mole of atoms
# total energy	-24.0	eV/cell
data_MgNbIO2
_chemical_formula_sum 'Mg1 Nb1 I1 O2'
_cell_length_a 4.0616
_cell_length_b 4.0616
_cell_length_c 5.3404
_cell_angle_alpha 90.00
_cell_angle_beta 90.00
_cell_angle_gamma 90.00
_symmetry_space_group_name_H-M 'P 4/m m m'
_symmetry_Int_Tables_number 123
_symmetry_space_group_name_Hall '-P 4 2'
loop_
_atom_site_label
_atom_site_fract_x
_atom_site_fract_y
_atom_site_fract_z
Mg1 0.0000 0.0000 0.0000
Nb1 0.5000 0.5000 0.5000
I1 0.0000 0.0000 0.5000
O1 0.0000 0.5000 0.0000


[12]
# Pr2YMg2 | the Alexandria database | PBE | relaxed
# calculated formation energy	-0.06	eV per atom
# relative energy among the computed polymorphs	1.4	kJ per mole of atoms
# total energy	-58.6	eV/cell
data_Pr2YMg2
_chemical_formula_sum 'Pr6 Y3 Mg6'
_cell_length_a 5.5308
_cell_length_b 5.5308
_cell_length_c 17.2182
_cell_angle_alpha 90.00
_cell_angle_beta 90.00
_cell_angle_gamma 120.00
_symmetry_space_group_name_H-M 'R -3 m'
_symmetry_Int_Tables_number 166
_symmetry_space_group_name_Hall '-R 3 2"'
loop_
_atom_site_label
_atom_site_fract_x
_atom_site_fract_y
_atom_site_fract_z
Pr1 0.0000 0.0000 0.2163
Y1 0.0000 0.0000 0.0000
Mg1 0.0000 0.0000 0.4110


[13]
# Mg2Zn2Ni | the Alexandria database | PBE | relaxed
# calculated formation energy	-0.04	eV per atom
# relative energy among the computed polymorphs	10.5	kJ per mole of atoms
# total energy	-23.4	eV/cell
data_Mg2Zn2Ni
_chemical_formula_sum 'Mg4 Zn4 Ni2'
_cell_length_a 6.3098
_cell_length_b 6.3098
_cell_length_c 4.2342
_cell_angle_alpha 90.00
_cell_angle_beta 90.00
_cell_angle_gamma 90.00
_symmetry_space_group_name_H-M 'P 4/m b m'
_symmetry_Int_Tables_number 127
_symmetry_space_group_name_Hall '-P 4 2ab'
loop_
_atom_site_label
_atom_site_fract_x
_atom_site_fract_y
_atom_site_fract_z
Mg1 0.1754 0.3246 0.0000
Zn1 0.1404 0.6404 0.5000
Ni1 0.0000 0.0000 0.5000


[14]
# RbTaFeP2 | the Alexandria database | PBE | relaxed
# calculated formation energy	2.80	eV per atom
# total energy	-18.1	eV/cell
data_RbTaFeP2
_chemical_formula_sum 'Rb1 Ta1 Fe1 P2'
_cell_length_a 4.9862
_cell_length_b 4.9862
_cell_length_c 4.2714
_cell_angle_alpha 90.00
_cell_angle_beta 90.00
_cell_angle_gamma 90.00
_symmetry_space_group_name_H-M 'P 4/m m m'
_symmetry_Int_Tables_number 123
_symmetry_space_group_name_Hall '-P 4 2'
loop_
_atom_site_label
_atom_site_fract_x
_atom_site_fract_y
_atom_site_fract_z
Rb1 0.0000 0.0000 0.0000
Ta1 0.5000 0.5000 0.5000
Fe1 0.0000 0.0000 0.5000
P1 0.0000 0.5000 0.0000